[1]
A relaxed TbNd3Tm4 crystal. Source: Alexandria via LeMat-Bulk, functional PBE.

Results
Raw total energy: -4.580 eV per atom
Volume: 520.7 Å³/cell
DOS(E_F): 29.0 states/eV per cell
Formation energy from the elements: 18 kJ/mol of formula units

CIF file:
```
data_TbNd3Tm4
_cell_length_a 11.404
_cell_length_b 7.286
_cell_length_c 6.267
_cell_angle_alpha 90.00
_cell_angle_beta 90.00
_cell_angle_gamma 90.00
_space_group_name_H-M_alt 'P m n 21'
_space_group_IT_number 31
loop_
_space_group_symop_operation_xyz
'x,y,z'
'-x+1/2,-y,z+1/2'
'-x,y,z'
'x+1/2,-y,z+1/2'
loop_
_atom_site_label
_atom_site_type_symbol
_atom_site_fract_x
_atom_site_fract_y
_atom_site_fract_z
_atom_site_occupancy
Tb1 Tb 0.000 0.131 0.000 1
Nd1 Nd 0.000 0.872 0.500 1
Nd2 Nd 0.250 0.128 0.337 1
Tm1 Tm 0.000 0.380 0.503 1
Tm2 Tm 0.000 0.620 0.001 1
Tm3 Tm 0.249 0.380 0.835 1
```


[2]
A relaxed YMn3B3 crystal. Source: Alexandria via LeMat-Bulk, functional PBE.

Results
Raw total energy: -7.832 eV per atom
Volume: 153.8 Å³/cell
DOS(E_F): 9.8 states/eV per cell
Formation energy from the elements: -79 kJ/mol of formula units

CIF file:
```
data_YMn3B3
_cell_length_a 7.584
_cell_length_b 3.016
_cell_length_c 7.691
_cell_angle_alpha 90.00
_cell_angle_beta 119.06
_cell_angle_gamma 90.00
_space_group_name_H-M_alt 'P 1 21/m 1'
_space_group_IT_number 11
loop_
_space_group_symop_operation_xyz
'x,y,z'
'-x,-y,-z'
'-x,y+1/2,-z'
'x,-y+1/2,z'
loop_
_atom_site_label
_atom_site_type_symbol
_atom_site_fract_x
_atom_site_fract_y
_atom_site_fract_z
_atom_site_occupancy
Y1 Y 0.166 0.250 0.329 1
Mn1 Mn 0.203 0.250 0.928 1
Mn2 Mn 0.264 0.750 0.692 1
Mn3 Mn 0.443 0.750 0.242 1
B1 B 0.039 0.250 0.574 1
B2 B 0.079 0.750 0.034 1
B3 B 0.462 0.750 0.540 1
```